The following is a DFT calculation (PBE-GGA) of a relaxed LiTlCuCl4 crystal.

extended XYZ file:
```
14
Lattice="-1.379 -3.036 5.345 7.071 -0.170 1.728 -0.350 8.176 2.234" Properties=species:S:1:pos:R:3 pbc="T T T"
Cl 0.908 2.218 4.173
Cl 4.732 -0.359 3.613
Cu 4.909 1.937 3.111
Tl 1.401 -0.036 1.932
Cl 0.611 5.329 5.694
Cl 5.509 -0.849 7.392
Li 1.126 4.493 3.504
Cl 4.435 2.753 5.134
Cl -0.167 5.820 1.915
Cl 2.278 -0.772 6.602
Tl 3.941 5.007 7.375
Cu 0.433 3.033 6.196
Li 4.216 0.477 5.803
Cl 3.064 5.742 2.705
```

Output
Its symmetry is P2_1/m. The uncorrected formation energy comes out at -964 meV per atom. The calculation puts the density of states at the Fermi level at 5.37 states/eV/f.u. Its energy is -45.026 eV/cell.